No. 1
A plane-wave DFT calculation with PBE was carried out for NdGa4RuRh2 after structural relaxation.

formation enthalpy at 0 K	-0.63	eV/atom

a = 4.2473 Å, b = 4.2473 Å, c = 9.1306 Å
α = 76.55°, β = 76.55°, γ = 60.00°
Last column: nearest neighbours and their distance in Å.
Atoms (fractional coordinates):
Ru 0.5000 0.5000 0.5000  8 Ga 2.56-2.61
Ga 0.1329 0.1329 0.6014  3 Ru 2.61, 4 Rh 2.62-2.72
Ga 0.8671 0.8671 0.3986  3 Ru 2.61, 4 Rh 2.62-2.72
Ga 0.5971 0.5971 0.2086  3 Rh 2.56, 1 Ru 2.56
Ga 0.4029 0.4029 0.7914  3 Rh 2.56, 1 Ru 2.56
Rh 0.7641 0.7641 0.7078  7 Ga 2.56-2.72
Rh 0.2359 0.2359 0.2922  7 Ga 2.56-2.72
Nd 0.0000 0.0000 0.0000  6 Ga 3.06

***

No. 2
A plane-wave DFT calculation with PBE was carried out for VPtW3 after structural relaxation.

formation enthalpy at 0 K	2.22	eV/atom
excess energy over the best structure of this formula in the dataset	0.7091	eV/atom

a = 4.7675 Å, b = 4.7675 Å, c = 4.7675 Å
α = 90.00°, β = 90.00°, γ = 90.00°
Last column: nearest neighbours and their distance in Å.
Atoms (fractional coordinates):
W 0.0000 0.5000 0.0000  2 Pt 2.38
W 0.5000 0.0000 0.0000  2 Pt 2.38
W 0.0000 0.0000 0.5000  2 Pt 2.38
V 0.5000 0.5000 0.5000  12 W 3.37
Pt 0.0000 0.0000 0.0000  6 W 2.38

***

No. 3
A plane-wave DFT calculation with PBE was carried out for Ce3Tl4FeS8 after structural relaxation.

formation energy (no corrections)	-1.09	eV per atom

a = 8.1068 Å, b = 8.8246 Å, c = 8.0901 Å
α = 117.27°, β = 120.07°, γ = 90.00°
Last column: nearest neighbours and their distance in Å.
Atoms (fractional coordinates):
Ce 0.5000 0.5000 0.0000  6 S 2.80
Ce 0.0000 0.5000 0.5000  6 S 2.79-2.80
Ce 0.5000 0.5000 0.5000  6 S 2.79-2.80
S 0.2542 0.3058 0.0300  1 Fe 2.67, 2 Ce 2.79-2.80
S 0.7757 0.3058 0.0300  1 Fe 2.67, 2 Ce 2.79-2.80
S 0.2646 0.2943 0.5292  3 Ce 2.80
S 0.2205 0.6911 0.4410  1 Fe 2.62, 2 Ce 2.80
S 0.7458 0.6942 0.9700  1 Fe 2.67, 2 Ce 2.79-2.80
S 0.7795 0.3089 0.5590  1 Fe 2.62, 2 Ce 2.80
S 0.7354 0.7057 0.4708  3 Ce 2.80
S 0.2243 0.6942 0.9700  1 Fe 2.67, 2 Ce 2.79-2.80
Tl 0.5000 0.0000 0.5000  6 S 3.21-3.24
Tl 0.0000 0.0000 0.5000  6 S 3.21-3.24
Tl 0.0000 0.0000 0.0000  6 S 3.21-3.24
Tl 0.5000 0.0000 0.0000  6 S 3.35-3.38
Fe 0.0000 0.5000 0.0000  6 S 2.62-2.67

***

No. 4
A plane-wave DFT calculation with PBE was carried out for Ca2IrOs after structural relaxation.

formation enthalpy at 0 K	0.42	eV/atom
excess energy over the best structure of this formula in the dataset	0.4287	eV/atom

a = 4.6373 Å, b = 2.9017 Å, c = 5.6312 Å
α = 82.16°, β = 90.00°, γ = 90.00°
Last column: nearest neighbours and their distance in Å.
Atoms (fractional coordinates):
Ir 0.5000 0.2500 0.2500  4 Ca 2.85, 2 Ir 2.90, 2 Os 2.99
Ca 0.0000 0.0063 0.0016  2 Ir 2.85, 2 Os 2.87, 4 Ca 2.90-2.99
Ca 0.0000 0.4937 0.4984  2 Ir 2.85, 2 Os 2.87, 4 Ca 2.90-2.99
Os 0.5000 0.7500 0.7500  4 Ca 2.87, 2 Os 2.90, 2 Ir 2.99

***

| no. | ρ (g/cm3) |
| --- | --- |
| 1 | 8.822 |
| 2 | 12.222 |
| 3 | 6.058 |
| 4 | 10.233 |